No. 1
A geometry-optimized Y5Tm2Sc2 structure. Source: Alexandria, functional PBE.

Lattice parameters (Å, degrees): 7.7915 7.7915 7.8211 107.47 107.47 36.77
Element x y z (fractional)
1 Y 0.0000 0.0000 0.0000
2 Y 0.2213 0.2213 0.3369
3 Y 0.3346 0.3346 0.9987
4 Y 0.6654 0.6654 0.0013
5 Y 0.7787 0.7787 0.6631
6 Tm 0.1070 0.1070 0.6632
7 Tm 0.8930 0.8930 0.3368
8 Sc 0.4456 0.4456 0.6604
9 Sc 0.5544 0.5544 0.3396

**ρ**: 5.372 g/cm3
**Space group**: C2/m
**DFT formation energy**: 5 kJ/mol of atoms
**Energy above the most stable polymorph in this dataset**: 0.000 eV per atom
**Total magnetization**: 0.0 μB/f.u.

***

No. 2
A geometry-optimized U2MnV structure. Source: Alexandria, functional PBE.

Lattice parameters (Å, degrees): 9.7326 9.7326 9.7326 16.88 16.88 16.88
Element x y z (fractional)
1 U 0.0806 0.0806 0.0806
2 U 0.9194 0.9194 0.9194
3 Mn 0.0000 0.0000 0.0000
4 V 0.5000 0.5000 0.5000

**ρ**: 14.255 g/cm3
**Space group**: R-3m
**DFT formation energy**: 42 kJ/mol of atoms
**Total magnetization**: 0.0 μB/f.u.

***

No. 3
A geometry-optimized NaBi structure. Source: Alexandria, functional PBE.

Lattice parameters (Å, degrees): 10.2828 10.2828 5.0560 90.00 90.00 90.00
Element x y z (fractional)
1 Na 0.0000 0.3324 0.0000
2 Na 0.0000 0.6676 0.0000
3 Na 0.1775 0.1775 0.5000
4 Na 0.1775 0.8225 0.5000
5 Na 0.3324 0.0000 0.0000
6 Na 0.6676 0.0000 0.0000
7 Na 0.8225 0.1775 0.5000
8 Na 0.8225 0.8225 0.5000
9 Bi 0.1640 0.5000 0.5000
10 Bi 0.3308 0.3308 0.0000
11 Bi 0.3308 0.6692 0.0000
12 Bi 0.5000 0.1640 0.5000
13 Bi 0.5000 0.8360 0.5000
14 Bi 0.6692 0.3308 0.0000
15 Bi 0.6692 0.6692 0.0000
16 Bi 0.8360 0.5000 0.5000

**ρ**: 5.764 g/cm3
**Space group**: P4/mmm
**DFT formation energy**: -9 kJ/mol of atoms
**Energy above the most stable polymorph in this dataset**: 0.211 eV per atom
**Total magnetization**: 0.0 μB/f.u.

***

No. 4
A geometry-optimized YBeZn2 structure. Source: Alexandria, functional PBE.

Lattice parameters (Å, degrees): 3.9859 5.5228 5.5228 35.96 90.00 90.00
Element x y z (fractional)
1 Y 0.0000 0.0000 0.0000
2 Be 0.5000 0.3790 0.3790
3 Zn 0.0000 0.2739 0.2739
4 Zn 0.5000 0.6992 0.6992

**ρ**: 5.320 g/cm3
**Space group**: Amm2
**DFT formation energy**: -3 kJ/mol of atoms
**Total magnetization**: 0.0 μB/f.u.

***

No. 5
A geometry-optimized Be2FeReS structure. Source: Alexandria, functional PBE.

Lattice parameters (Å, degrees): 3.9347 3.9347 4.1489 90.00 90.00 90.00
Element x y z (fractional)
1 Be 0.0000 0.5000 0.0000
2 Be 0.5000 0.0000 0.0000
3 Fe 0.0000 0.0000 0.5000
4 Re 0.5000 0.5000 0.5000
5 S 0.0000 0.0000 0.0000

**ρ**: 7.552 g/cm3
**Space group**: P4/mmm
**Energy above the most stable polymorph in this dataset**: 0.000 eV per atom
**Energy relative to the elements, uncorrected**: 911.2 meV/atom
**Total magnetization**: 3.0 μB/f.u.

***

No. 6
A geometry-optimized Sc2TiAg structure. Source: Alexandria, functional PBE.

Lattice parameters (Å, degrees): 9.7724 9.7724 9.7724 18.53 18.53 18.53
Element x y z (fractional)
1 Sc 0.0000 0.0000 0.0000
2 Sc 0.1642 0.1642 0.1642
3 Ti 0.4155 0.4155 0.4155
4 Ag 0.5820 0.5820 0.5820

**ρ**: 4.956 g/cm3
**Space group**: R3m
**DFT formation energy**: 3 kJ/mol of atoms
**Total magnetization**: 0.0 μB/f.u.

***

No. 7
A geometry-optimized CdP2W structure. Source: Alexandria, functional PBE.

Lattice parameters (Å, degrees): 7.0208 7.0208 3.4596 90.41 90.41 25.86
Element x y z (fractional)
1 Cd 0.0000 0.0000 0.0000
2 P 0.1891 0.1891 0.9879
3 P 0.3931 0.3931 0.4962
4 W 0.7596 0.7596 0.4904

**ρ**: 7.997 g/cm3
**Space group**: Cm
**DFT formation energy**: 7 kJ/mol of atoms
**Energy above the most stable polymorph in this dataset**: 0.099 eV per atom
**Total magnetization**: 0.0 μB/f.u.

***

No. 8
A geometry-optimized Pm5Nd8Th structure. Source: Alexandria, functional PBE.

Lattice parameters (Å, degrees): 8.6554 8.6554 8.6554 110.72 110.72 106.99
Element x y z (fractional)
1 Pm 0.0000 0.0000 0.0000
2 Pm 0.3147 0.6297 0.0995
3 Pm 0.3703 0.4698 0.6849
4 Pm 0.5302 0.2151 0.9005
5 Pm 0.7849 0.6853 0.3151
6 Nd 0.0256 0.4214 0.2595
7 Nd 0.0663 0.1623 0.7295
8 Nd 0.1619 0.7661 0.7405
9 Nd 0.2339 0.9744 0.3959
10 Nd 0.4328 0.3368 0.2705
11 Nd 0.5786 0.8381 0.6041
12 Nd 0.6632 0.9337 0.0960
13 Nd 0.8377 0.5672 0.9040
14 Th 0.7500 0.2500 0.5000

**ρ**: 7.032 g/cm3
**Space group**: I-4
**DFT formation energy**: 26 kJ/mol of atoms
**Total magnetization**: 0.0 μB/f.u.